Here is crystalline VOsO2 at its relaxed geometry from Alexandria. Energies are from PBE with a Hubbard U.

Properties
symmetry	R-3m, No. 166
crystal system	trigonal
energy above the most stable polymorph in this dataset	0.000	eV/atom
density of states at the Fermi level	0.54	states/eV/atom

Unit cell a=6.548 b=6.548 c=6.548 alpha=25.43 beta=25.43 gamma=25.43
Sites, in units of the cell vectors:
O 0.893 0.893 0.893
Os 0.000 0.000 0.000
V 0.500 0.500 0.500
O 0.107 0.107 0.107